# 1
Density functional theory data (PBE) for a geometry-optimized AcHg2Pb2 structure.

Output
DOS at the Fermi energy   13.64 states/eV/cell
Energy above the most stable polymorph in this dataset   90 meV/atom
ΔH_f (0 K)   -0.2378 eV per atom

Cell: 3.9865 5.1498 30.4799 Å, 90.00 90.00 90.00°
With the nearest neighbours (Å) after each atom.
Space group Imma (No. 74)
Inequivalent atoms, fractional coordinates:
Ac (0.0000, 0.2500, 0.0730) [4 per cell]  10 Hg 3.52-3.61, 2 Pb 3.82
Hg (0.0000, 0.2500, 0.5220) [4 per cell]  3 Hg 2.90-2.92
Hg (0.0000, 0.2500, 0.6179) [4 per cell]  1 Hg 2.92, 2 Pb 3.19
Pb (0.0000, 0.2500, 0.3201) [4 per cell]  2 Hg 3.19, 4 Pb 3.34
Pb (0.0000, 0.2500, 0.7960) [4 per cell]  2 Hg 3.29, 6 Pb 3.34-3.44



# 2
Density functional theory data (PBE) for a geometry-optimized AcHgPb structure.

Output
DOS at the Fermi energy   3.81 states/eV/cell
Energy above the most stable polymorph in this dataset   141 meV/atom
ΔH_f (0 K)   -0.3469 eV per atom

Cell: 3.9795 3.9795 12.1572 Å, 90.00 90.00 90.00°
With the nearest neighbours (Å) after each atom.
Space group I4mm (No. 107)
Inequivalent atoms, fractional coordinates:
Ac (0.0000, 0.0000, 0.0000) [2 per cell]  4 Hg 3.44, 5 Pb 3.67-3.72
Hg (0.0000, 0.0000, 0.3365) [2 per cell]  4 Pb 3.30, 4 Ac 3.44
Pb (0.0000, 0.0000, 0.6940) [2 per cell]  4 Hg 3.30, 4 Ac 3.67



# 3
Density functional theory data (PBE) for a geometry-optimized AcHgPb structure.

Output
DOS at the Fermi energy   4.09 states/eV/cell
Energy above the most stable polymorph in this dataset   90 meV/atom
ΔH_f (0 K)   -0.3979 eV per atom

Cell: 5.3427 3.9800 9.0538 Å, 90.00 90.00 90.00°
With the nearest neighbours (Å) after each atom.
Space group Pmma (No. 51)
Inequivalent atoms, fractional coordinates:
Ac (0.2500, 0.0000, 0.2409) [2 per cell]  6 Hg 3.48-3.66, 6 Pb 3.67-3.74
Hg (0.2500, 0.5000, 0.9255) [2 per cell]  2 Hg 2.99, 1 Pb 3.04
Pb (0.2500, 0.5000, 0.5901) [2 per cell]  1 Hg 3.04, 2 Pb 3.13



# 4
Density functional theory data (PBE) for a geometry-optimized Ac4Hg2Pb structure.

Output
DOS at the Fermi energy   30.19 states/eV/cell
Energy above the most stable polymorph in this dataset   62 meV/atom
ΔH_f (0 K)   -0.3192 eV per atom

Cell: 5.7120 5.7120 27.7490 Å, 90.00 90.00 120.00°
With the nearest neighbours (Å) after each atom.
Space group R-3m (No. 166, hexagonal axes)
Inequivalent atoms, fractional coordinates:
Ac (0.0000, 0.0000, 0.1195) [6 per cell]  4 Hg 3.46-3.67, 3 Pb 3.55
Ac (0.0000, 0.0000, 0.3714) [6 per cell]  4 Hg 3.32-3.51, 1 Pb 3.57
Hg (0.0000, 0.0000, 0.2518) [6 per cell]  8 Ac 3.32-3.67
Pb (0.0000, 0.0000, 0.5000) [3 per cell]  8 Ac 3.55-3.57



# 5
Density functional theory data (PBE) for a geometry-optimized Ac4HgPb2 structure.

Output
DOS at the Fermi energy   14.98 states/eV/cell
Energy above the most stable polymorph in this dataset   29 meV/atom
ΔH_f (0 K)   -0.3483 eV per atom

Cell: 6.8203 7.4343 11.1388 Å, 90.00 107.68 90.00°
With the nearest neighbours (Å) after each atom.
Space group P2_1/m (No. 11)
Inequivalent atoms, fractional coordinates:
Ac (0.9996, 0.0111, 0.2417) [4 per cell]  1 Hg 3.41, 4 Pb 3.46-3.58, 1 Ac 3.55
Ac (0.3723, 0.2500, 0.0434) [2 per cell]  1 Hg 3.19, 1 Pb 3.37
Ac (0.4325, 0.2500, 0.6365) [2 per cell]  1 Hg 3.33, 2 Pb 3.59-3.64
Hg (0.4474, 0.2500, 0.3408) [2 per cell]  1 Pb 2.94, 1 Ac 3.19
Pb (0.1148, 0.7500, 0.5110) [2 per cell]  1 Hg 2.94
Pb (0.2002, 0.7500, 0.0487) [2 per cell]  7 Ac 3.37-3.72



# 6
Density functional theory data (PBE) for a geometry-optimized Ac3Hg2Pb3 structure.

Output
DOS at the Fermi energy   26.67 states/eV/cell
ΔH_f (0 K)   -0.4614 eV per atom

Cell: 4.9275 12.5121 17.3001 Å, 90.00 90.00 90.00°
With the nearest neighbours (Å) after each atom.
Space group Cmcm (No. 63)
Inequivalent atoms, fractional coordinates:
Ac (0.0000, 0.0702, 0.1120) [8 per cell]  6 Pb 3.47-3.80, 3 Hg 3.48-3.72
Ac (0.0000, 0.3422, 0.2500) [4 per cell]  3 Pb 3.38-3.78, 4 Hg 3.39
Hg (0.0000, 0.2077, 0.6200) [8 per cell]  4 Pb 3.06-3.28, 2 Ac 3.39
Pb (0.0000, 0.3681, 0.0302) [8 per cell]  3 Hg 3.06-3.28
Pb (0.0000, 0.3873, 0.7500) [4 per cell]  2 Hg 3.18, 5 Ac 3.38-3.47



# 7
Density functional theory data (PBE) for a geometry-optimized AcHgPb3 structure.

Output
DOS at the Fermi energy   13.86 states/eV/cell
Energy above the most stable polymorph in this dataset   153 meV/atom
ΔH_f (0 K)   -0.0416 eV per atom

Cell: 6.4538 6.4538 21.0444 Å, 90.00 90.00 90.00°
With the nearest neighbours (Å) after each atom.
Space group I-4m2 (No. 119)
Inequivalent atoms, fractional coordinates:
Ac (0.0000, 0.0000, 0.2130) [4 per cell]  2 Hg 3.32, 4 Pb 3.38-3.71
Hg (0.0000, 0.0000, 0.5000) [2 per cell]  4 Pb 3.13
Hg (0.0000, 0.5000, 0.7500) [2 per cell]  4 Pb 3.04, 4 Ac 3.32
Pb (0.0000, 0.2485, 0.6279) [8 per cell]  2 Hg 3.04-3.13, 2 Pb 3.21-3.25
Pb (0.0000, 0.5000, 0.1660) [4 per cell]  2 Ac 3.38, 5 Pb 3.53-3.69



# 8
Density functional theory data (PBE) for a geometry-optimized AcHg2Pb4 structure.

Output
DOS at the Fermi energy   7.21 states/eV/cell
ΔH_f (0 K)   -0.1317 eV per atom

Cell: 9.9166 9.9166 4.5469 Å, 90.00 90.00 90.00°
With the nearest neighbours (Å) after each atom.
Space group P4_2/mnm (No. 136)
Inequivalent atoms, fractional coordinates:
Ac (0.0000, 0.0000, 0.0000) [2 per cell]  4 Hg 3.41
Hg (0.1810, 0.1810, 0.5000) [4 per cell]  6 Pb 3.12-3.19, 2 Ac 3.41
Pb (0.0945, 0.6670, 0.5000) [8 per cell]  3 Hg 3.12-3.19, 1 Pb 3.35



# 9
Density functional theory data (PBE) for a geometry-optimized AcHgPd2Pb2 structure.

Output
DOS at the Fermi energy   6.29 states/eV/cell
ΔH_f (0 K)   -0.2270 eV per atom

Cell: 5.5303 5.5303 11.4175 Å, 90.00 90.00 90.00°
With the nearest neighbours (Å) after each atom.
Space group I4/mmm (No. 139)
Inequivalent atoms, fractional coordinates:
Ac (0.0000, 0.0000, 0.0000) [2 per cell]  2 Pd 2.97
Hg (0.0000, 0.0000, 0.5000) [2 per cell]  2 Pd 2.73
Pd (0.0000, 0.0000, 0.2605) [4 per cell]  1 Hg 2.73, 4 Pb 2.77, 1 Ac 2.97
Pb (0.0000, 0.5000, 0.2500) [4 per cell]  4 Pd 2.77



# 10
Density functional theory data (PBE) for a geometry-optimized Ac2HgPd4Pb3 structure.

Output
DOS at the Fermi energy   6.04 states/eV/cell
ΔH_f (0 K)   -0.5325 eV per atom

Cell: 4.7894 4.7894 11.0154 Å, 90.00 90.00 90.00°
With the nearest neighbours (Å) after each atom.
Space group P-4m2 (No. 115)
Inequivalent atoms, fractional coordinates:
Ac (0.0000, 0.5000, 0.2450) [2 per cell]  8 Pd 3.61-3.64, 6 Pb 3.64-3.69, 2 Hg 3.69
Hg (0.0000, 0.0000, 0.5000) [1 per cell]  4 Pd 2.81
Pd (0.0000, 0.0000, 0.0000) [1 per cell]  4 Pb 2.75
Pd (0.0000, 0.5000, 0.6328) [2 per cell]  3 Pb 2.68-2.81, 2 Hg 2.81
Pd (0.5000, 0.5000, 0.0000) [1 per cell]  4 Pb 2.75
Pb (0.0000, 0.5000, 0.8764) [2 per cell]  5 Pd 2.68-2.75
Pb (0.5000, 0.5000, 0.5000) [1 per cell]  4 Pd 2.81



# 11
Density functional theory data (PBE) for a geometry-optimized Ac3Hg2Pd8Pb structure.

Output
DOS at the Fermi energy   9.01 states/eV/cell
ΔH_f (0 K)   -0.5018 eV per atom

Cell: 5.7155 5.7155 11.0675 Å, 90.00 90.00 120.00°
With the nearest neighbours (Å) after each atom.
Space group P-3m1 (No. 164)
Inequivalent atoms, fractional coordinates:
Ac (0.0000, 0.0000, 0.0000) [1 per cell]  6 Hg 3.44, 12 Pd 3.62-3.71
Ac (0.3333, 0.6667, 0.5925) [2 per cell]  7 Pd 2.81-3.14
Hg (0.3333, 0.6667, 0.0888) [2 per cell]  4 Pd 2.68-2.77
Pd (0.1677, 0.3355, 0.2902) [6 per cell]  1 Hg 2.77, 4 Pd 2.84-2.88, 1 Pb 2.85
Pd (0.3333, 0.6667, 0.8464) [2 per cell]  1 Hg 2.68, 1 Ac 2.81
Pb (0.0000, 0.0000, 0.5000) [1 per cell]  6 Pd 2.85



# 12
Density functional theory data (PBE) for a geometry-optimized AcHgPdPb2 structure.

Output
DOS at the Fermi energy   2.54 states/eV/cell
ΔH_f (0 K)   -0.2368 eV per atom

Cell: 5.1724 5.1724 6.0694 Å, 90.00 90.00 90.00°
With the nearest neighbours (Å) after each atom.
Space group P4mm (No. 99)
Inequivalent atoms, fractional coordinates:
Ac (0.0000, 0.0000, 0.0000) [1 per cell]  1 Pd 2.74
Hg (0.5000, 0.5000, 0.0261) [1 per cell]  4 Pb 3.46, 4 Ac 3.66
Pd (0.0000, 0.0000, 0.5489) [1 per cell]  4 Pb 2.73, 1 Ac 2.74
Pb (0.0000, 0.5000, 0.4047) [2 per cell]  2 Pd 2.73